# MnO2 GGA+U relaxed
data_MnO2
_chemical_formula_sum 'Mn6 O12'
_space_group_name_H-M_alt 'C 1 2/m 1'
_space_group_IT_number 12
_space_group_name_Hall '-C 2y'
_cell_length_a 13.634
_cell_length_b 2.935
_cell_length_c 4.644
_cell_angle_alpha 90.00
_cell_angle_beta 94.38
_cell_angle_gamma 90.00
loop_
_atom_site_label
_atom_site_type_symbol
_atom_site_fract_x
_atom_site_fract_y
_atom_site_fract_z
Mn1 Mn 0.000 0.000 0.000
Mn2 Mn 0.158 0.500 0.534
O1 O 0.072 0.500 0.850
O2 O 0.089 0.000 0.346
O3 O 0.234 0.000 0.714
# Final energy: -7.109 eV per atom
# Total magnetic moment: 1.00 μB/atom
# Volume: 185.29 Å³ per cell
# Density: 4.7 g/cm3